This record from Alexandria via LeMat-Bulk describes an optimized crystal structure of Tl2IrPb. The functional is PBE.

Cell: 5.134 5.134 5.134 Å, 60.00 60.00 60.00°
Positions (direct):
Tl: 0.250 0.250 0.250
Tl: 0.750 0.750 0.750
Ir: 0.000 0.000 0.000
Pb: 0.500 0.500 0.500

Calculated values
Its density of states at the Fermi level is 3.76 states/eV/f.u. The value obtained for the energy above the most stable polymorph in this dataset is 0.336 eV/atom. The magnetic moment comes out at 0.0 μB/f.u.